1 | ErTePO | OQMD | PBE | relaxed; total magnetization = 0.003 μB per formula unit
1.0
5.2631 0.0000 0.0000
0.0000 7.1336 0.0000
0.0000 0.0000 6.0375
Te O P Er
2 2 2 2
Cartesian
0.0000 1.2338 3.2856
0.0000 5.8998 0.2669
2.6316 3.9095 4.6546
2.6316 3.2241 1.6358
0.0000 1.2570 5.8115
0.0000 5.8766 2.7927
2.6316 4.8038 2.8757
2.6316 2.3298 5.8945

2 | ErTePO | OQMD | PBE | relaxed; total magnetization = 0.002 μB per formula unit
1.0
2.8412 -2.8412 0.0000
2.8412 2.8412 0.0000
0.0000 0.0000 10.1584
O Er Te P
2 2 2 2
Cartesian
2.8412 -1.4206 0.0000
2.8412 1.4206 0.0000
4.2618 0.0000 9.1410
1.4206 0.0000 1.0174
2.8412 1.4206 5.0792
2.8412 -1.4206 5.0792
1.4206 0.0000 7.4384
4.2618 0.0000 2.7200

Of all the structures shown, which is most stable? 1, and 2 is the least stable.